Entry 1:
Density functional theory data (PBE) for a relaxed structure of Ba12I3O5.

Calculated values
The uncorrected formation energy is -1.4786 eV/atom. For the total energy, the calculation gives -4.10 eV/atom.

abc: 15.7690 15.7690 15.7690
angles: 109.47 109.47 109.47
Closest atoms and distances in Å follow each position.
Fractional positions:
Ba (0.0047, 0.1929, 0.1090)  1 O 2.55
Ba (0.0047, 0.3118, 0.8958)  1 O 2.55
Ba (0.0839, 0.6929, 0.6882)  1 O 2.55
Ba (0.0839, 0.8910, 0.3958)  1 O 2.55
Ba (0.1042, 0.6090, 0.4161)  1 O 2.55
Ba (0.1042, 0.9953, 0.6882)  1 O 2.55
Ba (0.1090, 0.0047, 0.1929)  1 O 2.55
Ba (0.1090, 0.6042, 0.9161)  1 O 2.55
Ba (0.1882, 0.1929, 0.5839)  1 O 2.55
Ba (0.1882, 0.4953, 0.6042)  1 O 2.55
Ba (0.1929, 0.1090, 0.0047)  1 O 2.55
Ba (0.1929, 0.5839, 0.1882)  1 O 2.55
Ba (0.3071, 0.3118, 0.9161)  1 O 2.55
Ba (0.3071, 0.4953, 0.3910)  1 O 2.55
Ba (0.3118, 0.8958, 0.0047)  1 O 2.55
Ba (0.3118, 0.9161, 0.3071)  1 O 2.55
Ba (0.3910, 0.3071, 0.4953)  1 O 2.55
Ba (0.3910, 0.5839, 0.8958)  1 O 2.55
Ba (0.3958, 0.0839, 0.8910)  1 O 2.55
Ba (0.3958, 0.8118, 0.5047)  1 O 2.55
Ba (0.4161, 0.1042, 0.6090)  1 O 2.55
Ba (0.4161, 0.8118, 0.8071)  1 O 2.55
Ba (0.4953, 0.3910, 0.3071)  1 O 2.55
Ba (0.4953, 0.6042, 0.1882)  1 O 2.55
Ba (0.5047, 0.3958, 0.8118)  1 O 2.55
Ba (0.5047, 0.6090, 0.6929)  1 O 2.55
Ba (0.5839, 0.1882, 0.1929)  1 O 2.55
Ba (0.5839, 0.8958, 0.3910)  1 O 2.55
Ba (0.6042, 0.1882, 0.4953)  1 O 2.55
Ba (0.6042, 0.9161, 0.1090)  1 O 2.55
Ba (0.6090, 0.4161, 0.1042)  1 O 2.55
Ba (0.6090, 0.6929, 0.5047)  1 O 2.55
Ba (0.6882, 0.0839, 0.6929)  1 O 2.55
Ba (0.6882, 0.1042, 0.9953)  1 O 2.55
Ba (0.6929, 0.5047, 0.6090)  1 O 2.55
Ba (0.6929, 0.6882, 0.0839)  1 O 2.55
Ba (0.8071, 0.4161, 0.8118)  1 O 2.55
Ba (0.8071, 0.8910, 0.9953)  1 O 2.55
Ba (0.8118, 0.5047, 0.3958)  1 O 2.55
Ba (0.8118, 0.8071, 0.4161)  1 O 2.55
Ba (0.8910, 0.3958, 0.0839)  1 O 2.55
Ba (0.8910, 0.9953, 0.8071)  1 O 2.55
Ba (0.8958, 0.0047, 0.3118)  1 O 2.55
Ba (0.8958, 0.3910, 0.5839)  1 O 2.55
Ba (0.9161, 0.1090, 0.6042)  1 O 2.55
Ba (0.9161, 0.3071, 0.3118)  1 O 2.55
Ba (0.9953, 0.6882, 0.1042)  1 O 2.55
Ba (0.9953, 0.8071, 0.8910)  1 O 2.55
I (0.1250, 0.2500, 0.3750)  8 Ba 3.61-3.84
I (0.1250, 0.3750, 0.7500)  8 Ba 3.61-3.84
I (0.2500, 0.3750, 0.1250)  8 Ba 3.61-3.84
I (0.2500, 0.8750, 0.6250)  8 Ba 3.61-3.84
I (0.3750, 0.1250, 0.2500)  8 Ba 3.61-3.84
I (0.3750, 0.7500, 0.1250)  8 Ba 3.61-3.84
I (0.6250, 0.2500, 0.8750)  8 Ba 3.61-3.84
I (0.6250, 0.8750, 0.7500)  8 Ba 3.61-3.84
I (0.7500, 0.1250, 0.3750)  8 Ba 3.61-3.84
I (0.7500, 0.6250, 0.8750)  8 Ba 3.61-3.84
I (0.8750, 0.6250, 0.2500)  8 Ba 3.61-3.84
I (0.8750, 0.7500, 0.6250)  8 Ba 3.61-3.84
O (0.0000, 0.0000, 0.0000)  6 Ba 2.91
O (0.0000, 0.0000, 0.5000)  6 Ba 2.91
O (0.0000, 0.5000, 0.0000)  6 Ba 2.91
O (0.0000, 0.5000, 0.5000)  6 Ba 2.91
O (0.1250, 0.7500, 0.8750)  4 Ba 2.55
O (0.1250, 0.8750, 0.2500)  4 Ba 2.55
O (0.2500, 0.1250, 0.8750)  4 Ba 2.55
O (0.2500, 0.6250, 0.3750)  4 Ba 2.55
O (0.3750, 0.2500, 0.6250)  4 Ba 2.55
O (0.3750, 0.6250, 0.7500)  4 Ba 2.55
O (0.5000, 0.0000, 0.0000)  6 Ba 2.91
O (0.5000, 0.0000, 0.5000)  6 Ba 2.91
O (0.5000, 0.5000, 0.0000)  6 Ba 2.91
O (0.5000, 0.5000, 0.5000)  6 Ba 2.91
O (0.6250, 0.3750, 0.2500)  4 Ba 2.55
O (0.6250, 0.7500, 0.3750)  4 Ba 2.55
O (0.7500, 0.3750, 0.6250)  4 Ba 2.55
O (0.7500, 0.8750, 0.1250)  4 Ba 2.55
O (0.8750, 0.1250, 0.7500)  4 Ba 2.55
O (0.8750, 0.2500, 0.1250)  4 Ba 2.55

***

Entry 2:
Density functional theory data (PBE) for a relaxed structure of PmCd6Pt.

Calculated values
The formation enthalpy at 0 K is -238 meV/atom. For the total energy, the calculation gives -2.27 eV/atom.

abc: 4.8310 7.2480 7.2480
angles: 46.93 90.00 90.00
Closest atoms and distances in Å follow each position.
Fractional positions:
Pm (0.0000, 0.0000, 0.0000)  2 Pt 3.05, 6 Cd 3.21-3.26
Cd (0.0000, 0.4903, 0.9790)  6 Cd 2.82-3.06, 1 Pt 2.95
Cd (0.0000, 0.9790, 0.4903)  6 Cd 2.82-3.06, 1 Pt 2.95
Cd (0.5000, 0.1228, 0.6284)  5 Cd 2.85-3.06, 2 Pt 2.90
Cd (0.5000, 0.1594, 0.1594)  8 Cd 3.00-3.22, 2 Pm 3.21
Cd (0.5000, 0.5776, 0.5776)  4 Cd 3.06-3.08, 2 Pt 3.14
Cd (0.5000, 0.6284, 0.1228)  5 Cd 2.85-3.06, 2 Pt 2.90
Pt (0.0000, 0.4266, 0.4266)  8 Cd 2.90-3.14, 2 Pm 3.05

***

Entry 3:
Density functional theory data (PBE) for a relaxed structure of LaCdOF2.

Calculated values
The uncorrected formation energy is -2.0226 eV/atom. For the total energy, the calculation gives -4.93 eV/atom.

abc: 4.4346 4.4346 4.3218
angles: 90.00 90.00 90.00
Closest atoms and distances in Å follow each position.
Fractional positions:
La (0.0000, 0.0000, 0.0000)  8 F 3.10, 4 O 3.14
Cd (0.5000, 0.5000, 0.5000)  2 O 2.16, 4 F 2.22
O (0.5000, 0.5000, 0.0000)  2 Cd 2.16
F (0.0000, 0.5000, 0.5000)  2 Cd 2.22
F (0.5000, 0.0000, 0.5000)  2 Cd 2.22

***

Entry 4:
Density functional theory data (PBE) for a relaxed structure of ReWSe2.

Calculated values
The uncorrected formation energy is 0.5805 eV/atom. For the total energy, the calculation gives -7.51 eV/atom.

abc: 4.4356 4.4356 4.4356
angles: 60.00 60.00 60.00
Closest atoms and distances in Å follow each position.
Fractional positions:
Re (0.0000, 0.0000, 0.0000)  8 Se 2.72
W (0.5000, 0.5000, 0.5000)  8 Se 2.72
Se (0.2500, 0.2500, 0.2500)  4 W 2.72, 4 Re 2.72
Se (0.7500, 0.7500, 0.7500)  4 W 2.72, 4 Re 2.72

***

Entry 5:
Density functional theory data (PBE) for a relaxed structure of Tb4Pr10Pu.

Calculated values
The formation enthalpy at 0 K is 339 meV/atom. For the total energy, the calculation gives -5.04 eV/atom.

abc: 8.8355 8.8355 8.8355
angles: 111.36 111.36 105.75
Closest atoms and distances in Å follow each position.
Fractional positions:
Tb (0.0564, 0.3242, 0.3806)  2 Pr 3.24, 1 Pu 3.28
Tb (0.3242, 0.9436, 0.2677)  2 Pr 3.24, 1 Pu 3.28
Tb (0.6758, 0.0564, 0.7323)  2 Pr 3.24, 1 Pu 3.28
Tb (0.9436, 0.6758, 0.6194)  2 Pr 3.24, 1 Pu 3.28
Pr (0.1313, 0.4573, 0.9057)  5 Pr 3.26-3.40
Pr (0.2256, 0.1313, 0.6740)  5 Pr 3.26-3.40
Pr (0.2500, 0.7500, 0.5000)  4 Tb 3.24, 4 Pr 3.26
Pr (0.4484, 0.7744, 0.9057)  5 Pr 3.26-3.40
Pr (0.4573, 0.5516, 0.3260)  5 Pr 3.26-3.40
Pr (0.5427, 0.4484, 0.6740)  5 Pr 3.26-3.40
Pr (0.5516, 0.2256, 0.0943)  5 Pr 3.26-3.40
Pr (0.7500, 0.2500, 0.5000)  4 Tb 3.24, 4 Pr 3.26
Pr (0.7744, 0.8687, 0.3260)  5 Pr 3.26-3.40
Pr (0.8687, 0.5427, 0.0943)  5 Pr 3.26-3.40
Pu (0.0000, 0.0000, 0.0000)  4 Tb 3.28

***

Entry 6:
Density functional theory data (PBE) for a relaxed structure of Co2IrCl.

Calculated values
The uncorrected formation energy is 0.8767 eV/atom. For the total energy, the calculation gives -5.35 eV/atom.

abc: 4.8212 4.8212 4.8212
angles: 134.86 134.86 65.75
Closest atoms and distances in Å follow each position.
Fractional positions:
Co (0.0000, 0.0000, 0.0000)  4 Cl 2.62, 4 Co 2.74, 4 Ir 2.74
Co (0.7500, 0.2500, 0.5000)  4 Ir 2.62, 4 Cl 2.74, 4 Co 2.74
Ir (0.2500, 0.7500, 0.5000)  8 Co 2.62-2.74, 4 Cl 2.74
Cl (0.5000, 0.5000, 0.0000)  8 Co 2.62-2.74, 4 Ir 2.74

***

Entry 7:
Density functional theory data (PBE) for a relaxed structure of CrSiNi2.

Calculated values
The uncorrected formation energy is -0.1526 eV/atom. For the total energy, the calculation gives -6.80 eV/atom.

abc: 2.5323 2.5323 6.9386
angles: 90.00 90.00 90.00
Closest atoms and distances in Å follow each position.
Fractional positions:
Cr (0.0000, 0.0000, 0.0000)  4 Cr 2.53, 8 Ni 2.58
Si (0.0000, 0.0000, 0.5000)  8 Ni 2.41, 4 Si 2.53
Ni (0.5000, 0.5000, 0.2681)  4 Si 2.41, 4 Ni 2.53, 4 Cr 2.58
Ni (0.5000, 0.5000, 0.7319)  4 Si 2.41, 4 Ni 2.53, 4 Cr 2.58

***

Entry 8:
Density functional theory data (PBE) for a relaxed structure of PIN2.

Calculated values
The uncorrected formation energy is 2.3370 eV/atom. For the total energy, the calculation gives -3.57 eV/atom.

abc: 4.1571 4.1571 4.1571
angles: 60.00 60.00 60.00
Closest atoms and distances in Å follow each position.
Fractional positions:
P (0.0000, 0.0000, 0.0000)  8 N 2.55
I (0.5000, 0.5000, 0.5000)  8 N 2.55
N (0.2500, 0.2500, 0.2500)  4 I 2.55, 4 P 2.55
N (0.7500, 0.7500, 0.7500)  4 I 2.55, 4 P 2.55

***

Entry 9:
Density functional theory data (PBE) for a relaxed structure of Cu5Pd6S.

Calculated values
The uncorrected formation energy is -0.1084 eV/atom. For the total energy, the calculation gives -4.76 eV/atom.

abc: 7.2708 7.2708 7.2708
angles: 146.79 126.69 64.27
Closest atoms and distances in Å follow each position.
Fractional positions:
Cu (0.0000, 0.0000, 0.0000)  8 Pd 2.63-2.74, 4 Cu 2.86
Cu (0.1602, 0.6602, 0.5000)  8 Pd 2.66-2.72, 4 Cu 2.76-2.86
Cu (0.3082, 0.3082, 0.0000)  8 Pd 2.53-2.79, 2 Cu 2.76
Cu (0.6918, 0.6918, 0.0000)  8 Pd 2.53-2.79, 2 Cu 2.76
Cu (0.8398, 0.3398, 0.5000)  8 Pd 2.66-2.72, 4 Cu 2.76-2.86
Pd (0.1083, 0.8402, 0.2681)  1 S 2.48, 7 Cu 2.53-2.72
Pd (0.2732, 0.5000, 0.7732)  2 S 2.55, 6 Cu 2.66-2.79
Pd (0.4279, 0.1598, 0.2681)  1 S 2.48, 7 Cu 2.53-2.72
Pd (0.5721, 0.8402, 0.7319)  1 S 2.48, 7 Cu 2.53-2.72
Pd (0.7268, 0.5000, 0.2268)  2 S 2.55, 6 Cu 2.66-2.79
Pd (0.8917, 0.1598, 0.7319)  1 S 2.48, 7 Cu 2.53-2.72
S (0.5000, 0.0000, 0.5000)  8 Pd 2.48-2.55

***

Entry 10:
Density functional theory data (PBE) for a relaxed structure of LaHfBi2Se.

Calculated values
The uncorrected formation energy is 1.1805 eV/atom. For the total energy, the calculation gives -4.05 eV/atom.

abc: 6.0008 6.0008 5.6446
angles: 90.00 90.00 90.00
Closest atoms and distances in Å follow each position.
Fractional positions:
La (0.0000, 0.0000, 0.0000)  2 Hf 2.82, 4 Bi 3.00
Hf (0.0000, 0.0000, 0.5000)  2 La 2.82
Bi (0.0000, 0.5000, 0.0000)  2 La 3.00
Bi (0.5000, 0.0000, 0.0000)  2 La 3.00
Se (0.5000, 0.5000, 0.5000)  8 Bi 4.12, 4 Hf 4.24

***

Entry 11:
Density functional theory data (PBE) for a relaxed structure of Gd2PaAg.

Calculated values
The formation enthalpy at 0 K is 270 meV/atom. For the total energy, the calculation gives -9.86 eV/atom.

abc: 11.6748 11.6748 11.6748
angles: 15.93 15.93 15.93
Closest atoms and distances in Å follow each position.
Fractional positions:
Gd (0.0921, 0.0921, 0.0921)  1 Pa 3.18, 3 Ag 3.18, 6 Gd 3.23
Gd (0.9080, 0.9080, 0.9080)  1 Pa 3.18, 3 Ag 3.18, 6 Gd 3.23
Pa (0.0000, 0.0000, 0.0000)  2 Gd 3.18, 6 Pa 3.23
Ag (0.5000, 0.5000, 0.5000)  6 Gd 3.18, 6 Ag 3.23

***

Entry 12:
Density functional theory data (PBE) for a relaxed structure of Mg2CuTeP.

Calculated values
The uncorrected formation energy is -0.0234 eV/atom. For the total energy, the calculation gives -3.19 eV/atom.

abc: 5.2456 5.2456 4.0787
angles: 90.00 90.00 90.00
Closest atoms and distances in Å follow each position.
Fractional positions:
Mg (0.0000, 0.5000, 0.0000)  2 Cu 2.62
Mg (0.5000, 0.0000, 0.0000)  2 Cu 2.62
Cu (0.0000, 0.0000, 0.0000)  2 P 2.04
Te (0.5000, 0.5000, 0.5000)  8 Mg 3.32, 4 P 3.71
P (0.0000, 0.0000, 0.5000)  2 Cu 2.04

***

no.,density of states at the Fermi level (states/eV per cell)
1,60.2
2,3.2
3,4.5
4,2.3
5,29.6
6,5.5
7,4.2
8,2.0
9,5.3
10,5.4
11,5.4
12,1.0